Material: CoHgNO2
Method: DFT, GGA-PBEsol
State: relaxed

It has space group P4/mmm (No. 123), with a = 3.965 Å, b = 3.965 Å, c = 3.377 Å, α = 90.00°, β = 90.00° and γ = 90.00°. Symmetry generates all atoms from Co at (0.000, 0.000, 0.000), Hg at (0.500, 0.500, 0.500), N at (0.000, 0.000, 0.500) and O at (0.000, 0.500, 0.000).

As for the uncorrected formation energy: 0.230 eV/atom. For the total energy, the calculation gives -5.24 eV/atom.